Entry 1:
TlSe2O2 at its PBEsol-relaxed geometry, computed with meta-GGA SCAN.

a = 4.2881 Å, b = 4.2881 Å, c = 8.7621 Å
α = 90.00°, β = 90.00°, γ = 90.00°
Fractional positions:
Tl 0.0000 0.0000 0.0000
Tl 0.5000 0.5000 0.5000
Se 0.0000 0.0000 0.3659
Se 0.0000 0.0000 0.6341
Se 0.5000 0.5000 0.1341
Se 0.5000 0.5000 0.8659
O 0.0000 0.5000 0.2500
O 0.0000 0.5000 0.7500
O 0.5000 0.0000 0.2500
O 0.5000 0.0000 0.7500

***

Entry 2:
Tl2SeO4 at its PBEsol-relaxed geometry, computed with meta-GGA SCAN.

Polymorph energy (0 for the lowest one), meV per atom: 21

a = 6.0392 Å, b = 6.0392 Å, c = 8.2344 Å
α = 90.00°, β = 90.00°, γ = 115.65°
Fractional positions:
Tl 0.0000 0.0000 0.0000
Tl 0.0000 0.0000 0.5000
Tl 0.3072 0.6928 0.7500
Tl 0.6928 0.3072 0.2500
Se 0.3594 0.6406 0.2500
Se 0.6406 0.3594 0.7500
O 0.2500 0.3320 0.2500
O 0.2660 0.7340 0.0846
O 0.2660 0.7340 0.4154
O 0.3320 0.2500 0.7500
O 0.6680 0.7500 0.2500
O 0.7340 0.2660 0.5846
O 0.7340 0.2660 0.9154
O 0.7500 0.6680 0.7500

***

Entry 3:
Tl2SeO4 at its PBEsol-relaxed geometry, computed with meta-GGA SCAN.

Polymorph energy (0 for the lowest one), meV per atom: 0

a = 6.2705 Å, b = 7.8239 Å, c = 10.6013 Å
α = 90.00°, β = 90.00°, γ = 90.00°
Fractional positions:
Tl 0.0271 0.0800 0.0806
Tl 0.0268 0.2450 0.7134
Tl 0.4732 0.7550 0.2134
Tl 0.4729 0.9200 0.5806
Tl 0.5268 0.2550 0.2866
Tl 0.5271 0.4200 0.9194
Tl 0.9729 0.5800 0.4194
Tl 0.9732 0.7450 0.7866
Se 0.0119 0.5450 0.0835
Se 0.4881 0.4550 0.5835
Se 0.5119 0.9550 0.9165
Se 0.9881 0.0450 0.4165
O 0.0481 0.9441 0.5519
O 0.0778 0.7469 0.0504
O 0.1989 0.0328 0.3199
O 0.2198 0.4498 0.1530
O 0.2802 0.5502 0.6530
O 0.3011 0.9672 0.8199
O 0.4222 0.2531 0.5504
O 0.4519 0.0559 0.0519
O 0.5481 0.5559 0.4481
O 0.5778 0.7531 0.9496
O 0.6989 0.4672 0.6801
O 0.7198 0.0502 0.8470
O 0.7802 0.9498 0.3470
O 0.8011 0.5328 0.1801
O 0.9222 0.2469 0.4496
O 0.9519 0.4441 0.9481

***

Entry 4:
TlV3Se2O12 at its PBEsol-relaxed geometry, computed with meta-GGA SCAN.

a = 7.0735 Å, b = 7.0735 Å, c = 11.6118 Å
α = 90.00°, β = 90.00°, γ = 120.00°
Fractional positions:
Tl 0.3333 0.6667 0.0000
Tl 0.6667 0.3333 0.5000
V 0.1265 0.3337 0.3765
V 0.2072 0.8735 0.3765
V 0.3337 0.2072 0.8765
V 0.6663 0.7928 0.3765
V 0.7928 0.1265 0.8765
V 0.8735 0.6663 0.8765
Se 0.0000 0.0000 0.1562
Se 0.0000 0.0000 0.6562
Se 0.3333 0.6667 0.6006
Se 0.6667 0.3333 0.1006
O 0.0814 0.5407 0.3540
O 0.1183 0.8639 0.2215
O 0.1234 0.8732 0.9079
O 0.1268 0.2501 0.9079
O 0.1361 0.2544 0.2215
O 0.1955 0.7839 0.5381
O 0.2161 0.4116 0.5381
O 0.2501 0.1234 0.4079
O 0.2544 0.1183 0.7215
O 0.4116 0.1955 0.0381
O 0.4593 0.5407 0.3540
O 0.4593 0.9186 0.3540
O 0.5407 0.0814 0.8540
O 0.5407 0.4593 0.8540
O 0.5884 0.8045 0.5381
O 0.7456 0.8817 0.2215
O 0.7499 0.8766 0.9079
O 0.7839 0.5884 0.0381
O 0.8045 0.2161 0.0381
O 0.8639 0.7456 0.7215
O 0.8732 0.7499 0.4079
O 0.8766 0.1268 0.4079
O 0.8817 0.1361 0.7215
O 0.9186 0.4593 0.8540

***

Summary of volume in Å³/f.u.
80.6 135.4 130.0 251.6
(order as listed above)
Summary of total energy in eV per atom
-24.64 -28.00 -28.02 -15.17
(order as listed above)